(1)
The following is a meta-GGA SCAN calculation of a PBEsol-optimized structure of Mg3Al8FeSi10O36, from Alexandria.

E_form (uncorrected) (meV per atom): -3110.8
Magnetization (μB/cell): 8.0
Uncorrected energy (eV per cell): -1199.94

Structure (CIF):
```
data_Mg3Al8FeSi10O36
_chemical_formula_sum 'Mg6 Al16 Fe2 Si20 O72'
_cell_length_a 9.771
_cell_length_b 17.193
_cell_length_c 9.387
_cell_angle_alpha 90.00
_cell_angle_beta 90.02
_cell_angle_gamma 90.00
_symmetry_space_group_name_H-M 'C 1 2 1'
_symmetry_Int_Tables_number 5
_symmetry_space_group_name_Hall 'C 2y'
loop_
_atom_site_label
_atom_site_fract_x
_atom_site_fract_y
_atom_site_fract_z
Mg1 0.000 0.000 0.000
Mg2 0.000 0.000 0.500
Mg3 0.000 0.325 0.000
Al1 0.192 0.111 0.249
Al2 0.192 0.213 0.751
Al3 0.249 0.913 0.500
Al4 0.250 0.412 0.000
Fe1 0.000 0.324 0.500
Si1 0.000 0.161 0.500
Si2 0.000 0.162 0.000
Si3 0.078 0.470 0.751
Si4 0.078 0.855 0.250
Si5 0.238 0.527 0.249
Si6 0.238 0.798 0.750
O1 0.079 0.826 0.751
O2 0.081 0.497 0.249
O3 0.083 0.098 0.400
O4 0.084 0.100 0.099
O5 0.084 0.225 0.901
O6 0.086 0.223 0.597
O7 0.102 0.414 0.891
O8 0.102 0.910 0.391
O9 0.103 0.417 0.607
O10 0.103 0.910 0.108
O11 0.184 0.541 0.753
O12 0.186 0.785 0.250
O13 0.188 0.989 0.609
O14 0.188 0.989 0.892
O15 0.189 0.336 0.108
O16 0.192 0.336 0.394
O17 0.249 0.206 0.250
O18 0.249 0.619 0.248
```

(2)
The following is a meta-GGA SCAN calculation of a PBEsol-optimized structure of W2AuSe, from Alexandria.

E_form (uncorrected) (meV per atom): 915.3
Magnetization (μB/cell): 0.0
Uncorrected energy (eV per cell): -449.90

Structure (CIF):
```
data_W2AuSe
_chemical_formula_sum 'W4 Au2 Se2'
_cell_length_a 3.992
_cell_length_b 3.992
_cell_length_c 8.126
_cell_angle_alpha 90.00
_cell_angle_beta 90.00
_cell_angle_gamma 90.00
_symmetry_space_group_name_H-M 'I -4 m 2'
_symmetry_Int_Tables_number 119
_symmetry_space_group_name_Hall 'I -4 -2'
loop_
_atom_site_label
_atom_site_fract_x
_atom_site_fract_y
_atom_site_fract_z
W1 0.000 0.000 0.000
W2 0.000 0.500 0.250
Au1 0.000 0.000 0.500
Se1 0.000 0.500 0.750
```

(3)
The following is a meta-GGA SCAN calculation of a PBEsol-optimized structure of Te2IrPdI, from Alexandria.

E_form (uncorrected) (meV per atom): 1277.7
Magnetization (μB/cell): 2.7
Uncorrected energy (eV per cell): -208.73

Structure (CIF):
```
data_Te2IrPdI
_chemical_formula_sum 'Te2 Ir1 Pd1 I1'
_cell_length_a 5.113
_cell_length_b 5.113
_cell_length_c 5.124
_cell_angle_alpha 90.00
_cell_angle_beta 90.00
_cell_angle_gamma 90.00
_symmetry_space_group_name_H-M 'P 4/m m m'
_symmetry_Int_Tables_number 123
_symmetry_space_group_name_Hall '-P 4 2'
loop_
_atom_site_label
_atom_site_fract_x
_atom_site_fract_y
_atom_site_fract_z
Te1 0.000 0.500 0.000
Ir1 0.000 0.000 0.500
Pd1 0.500 0.500 0.000
I1 0.500 0.500 0.500
```

(4)
The following is a meta-GGA SCAN calculation of a PBEsol-optimized structure of Tb2ZrS5, from Alexandria.

E_form (uncorrected) (meV per atom): -2160.7
Magnetization (μB/cell): 0.0
Uncorrected energy (eV per cell): -758.60

Structure (CIF):
```
data_Tb2ZrS5
_chemical_formula_sum 'Tb8 Zr4 S20'
_cell_length_a 11.386
_cell_length_b 7.689
_cell_length_c 7.165
_cell_angle_alpha 90.00
_cell_angle_beta 90.00
_cell_angle_gamma 90.00
_symmetry_space_group_name_H-M 'P n m a'
_symmetry_Int_Tables_number 62
_symmetry_space_group_name_Hall '-P 2ac 2n'
loop_
_atom_site_label
_atom_site_fract_x
_atom_site_fract_y
_atom_site_fract_z
Tb1 0.178 0.002 0.026
Zr1 0.008 0.750 0.579
S1 0.003 0.750 0.951
S2 0.093 0.040 0.664
S3 0.183 0.750 0.332
S4 0.210 0.250 0.311
```

(5)
The following is a meta-GGA SCAN calculation of a PBEsol-optimized structure of BaNaSbI2, from Alexandria.

E_form (uncorrected) (meV per atom): -663.5
Magnetization (μB/cell): 2.0
Uncorrected energy (eV per cell): -157.83

Structure (CIF):
```
data_BaNaSbI2
_chemical_formula_sum 'Ba1 Na1 Sb1 I2'
_cell_length_a 6.600
_cell_length_b 6.600
_cell_length_c 6.721
_cell_angle_alpha 90.00
_cell_angle_beta 90.00
_cell_angle_gamma 90.00
_symmetry_space_group_name_H-M 'P 4/m m m'
_symmetry_Int_Tables_number 123
_symmetry_space_group_name_Hall '-P 4 2'
loop_
_atom_site_label
_atom_site_fract_x
_atom_site_fract_y
_atom_site_fract_z
Ba1 0.000 0.000 0.000
Na1 0.500 0.500 0.500
Sb1 0.000 0.000 0.500
I1 0.000 0.500 0.000
```

(6)
The following is a meta-GGA SCAN calculation of a PBEsol-optimized structure of BeTcP2, from Alexandria.

Energy of formation from the pure elements (kJ/mol of formula units): -38
Magnetization (μB/cell): 0.0
Uncorrected energy (eV per cell): -121.21

Structure (CIF):
```
data_BeTcP2
_chemical_formula_sum 'Be2 Tc2 P4'
_cell_length_a 7.671
_cell_length_b 2.936
_cell_length_c 4.283
_cell_angle_alpha 90.00
_cell_angle_beta 94.66
_cell_angle_gamma 90.00
_symmetry_space_group_name_H-M 'C 1 2/m 1'
_symmetry_Int_Tables_number 12
_symmetry_space_group_name_Hall '-C 2y'
loop_
_atom_site_label
_atom_site_fract_x
_atom_site_fract_y
_atom_site_fract_z
Be1 0.000 0.000 0.000
Tc1 0.000 0.500 0.500
P1 0.229 0.000 0.749
```

(7)
The following is a meta-GGA SCAN calculation of a PBEsol-optimized structure of SrMg2Ag2, from Alexandria.

Energy of formation from the pure elements (kJ/mol of formula units): -141
Magnetization (μB/cell): 0.0
Uncorrected energy (eV per cell): -192.84

Structure (CIF):
```
data_SrMg2Ag2
_chemical_formula_sum 'Sr2 Mg4 Ag4'
_cell_length_a 4.384
_cell_length_b 4.384
_cell_length_c 12.579
_cell_angle_alpha 90.00
_cell_angle_beta 90.00
_cell_angle_gamma 90.00
_symmetry_space_group_name_H-M 'I 4/m m m'
_symmetry_Int_Tables_number 139
_symmetry_space_group_name_Hall '-I 4 2'
loop_
_atom_site_label
_atom_site_fract_x
_atom_site_fract_y
_atom_site_fract_z
Sr1 0.000 0.000 0.000
Mg1 0.000 0.500 0.250
Ag1 0.000 0.000 0.390
```

(8)
The following is a meta-GGA SCAN calculation of a PBEsol-optimized structure of Na2MgZrP, from Alexandria.

Energy of formation from the pure elements (kJ/mol of formula units): 468
Magnetization (μB/cell): 1.3
Uncorrected energy (eV per cell): -49.65

Structure (CIF):
```
data_Na2MgZrP
_chemical_formula_sum 'Na2 Mg1 Zr1 P1'
_cell_length_a 4.786
_cell_length_b 4.786
_cell_length_c 5.544
_cell_angle_alpha 90.00
_cell_angle_beta 90.00
_cell_angle_gamma 90.00
_symmetry_space_group_name_H-M 'P 4/m m m'
_symmetry_Int_Tables_number 123
_symmetry_space_group_name_Hall '-P 4 2'
loop_
_atom_site_label
_atom_site_fract_x
_atom_site_fract_y
_atom_site_fract_z
Na1 0.000 0.500 0.000
Mg1 0.000 0.000 0.000
Zr1 0.000 0.000 0.500
P1 0.500 0.500 0.500
```

(9)
The following is a meta-GGA SCAN calculation of a PBEsol-optimized structure of AgGeSe3, from Alexandria.

E_form (uncorrected) (meV per atom): 648.1
Magnetization (μB/cell): 0.0
Uncorrected energy (eV per cell): -107.45

Structure (CIF):
```
data_AgGeSe3
_chemical_formula_sum 'Ag1 Ge1 Se3'
_cell_length_a 4.953
_cell_length_b 4.953
_cell_length_c 4.953
_cell_angle_alpha 90.00
_cell_angle_beta 90.00
_cell_angle_gamma 90.00
_symmetry_space_group_name_H-M 'P m -3 m'
_symmetry_Int_Tables_number 221
_symmetry_space_group_name_Hall '-P 4 2 3'
loop_
_atom_site_label
_atom_site_fract_x
_atom_site_fract_y
_atom_site_fract_z
Ag1 0.000 0.000 0.000
Ge1 0.500 0.500 0.500
Se1 0.000 0.000 0.500
```

(10)
The following is a meta-GGA SCAN calculation of a PBEsol-optimized structure of MgP4, from Alexandria.

Energy of formation from the pure elements (kJ/mol of formula units): -190
Magnetization (μB/cell): 0.0
Uncorrected energy (eV per cell): -97.08

Structure (CIF):
```
data_MgP4
_chemical_formula_sum 'Mg2 P8'
_cell_length_a 5.131
_cell_length_b 5.057
_cell_length_c 7.529
_cell_angle_alpha 90.00
_cell_angle_beta 98.61
_cell_angle_gamma 90.00
_symmetry_space_group_name_H-M 'P 1 21/c 1'
_symmetry_Int_Tables_number 14
_symmetry_space_group_name_Hall '-P 2ybc'
loop_
_atom_site_label
_atom_site_fract_x
_atom_site_fract_y
_atom_site_fract_z
Mg1 0.000 0.000 0.000
P1 0.251 0.208 0.754
P2 0.395 0.610 0.098
```

(11)
The following is a meta-GGA SCAN calculation of a PBEsol-optimized structure of BaZn, from Alexandria.

Energy of formation from the pure elements (kJ/mol of formula units): -40
Magnetization (μB/cell): 0.2
Uncorrected energy (eV per cell): -320.86

Structure (CIF):
```
data_BaZn
_chemical_formula_sum 'Ba6 Zn6'
_cell_length_a 4.6171
_cell_length_b 4.6171
_cell_length_c 24.2662
_cell_angle_alpha 90.00
_cell_angle_beta 90.00
_cell_angle_gamma 120.00
_symmetry_space_group_name_H-M 'R -3 m'
_symmetry_Int_Tables_number 166
_symmetry_space_group_name_Hall '-R 3 2"'
loop_
_atom_site_label
_atom_site_fract_x
_atom_site_fract_y
_atom_site_fract_z
Ba1 0.0000 0.0000 0.0843
Zn1 0.0000 0.0000 0.3334
```

(12)
The following is a meta-GGA SCAN calculation of a PBEsol-optimized structure of Zr2ScPb, from Alexandria.

Energy of formation from the pure elements (kJ/mol of formula units): -104
Magnetization (μB/cell): 1.0
Uncorrected energy (eV per cell): -152.49

Structure (CIF):
```
data_Zr2ScPb
_chemical_formula_sum 'Zr2 Sc1 Pb1'
_cell_length_a 3.363
_cell_length_b 4.027
_cell_length_c 6.633
_cell_angle_alpha 90.00
_cell_angle_beta 90.00
_cell_angle_gamma 90.00
_symmetry_space_group_name_H-M 'P m m 2'
_symmetry_Int_Tables_number 25
_symmetry_space_group_name_Hall 'P 2 -2'
loop_
_atom_site_label
_atom_site_fract_x
_atom_site_fract_y
_atom_site_fract_z
Zr1 0.000 0.000 0.000
Zr2 0.500 0.500 0.242
Sc1 0.500 0.500 0.743
Pb1 0.000 0.000 0.499
```

Which value of magnetization does entry 6 give? 0.0 μB/cell